[1]
HfCdCo2 PBE relaxed; energy = -5.860 eV per atom
1.0
6.8008 0.0000 0.0000
0.0000 6.8008 0.0000
3.4004 3.4004 2.8557
Cd Co Hf
2 4 2
Direct
0.5000 0.5000 0.0000
0.2500 0.7500 0.5000
0.6396 0.1250 0.2500
0.3750 0.3604 0.7500
0.8750 0.8896 0.7500
0.1104 0.6250 0.2500
0.7500 0.2500 0.5000
0.0000 0.0000 0.0000


[2]
HfCdCo PBE relaxed; energy = -6.250 eV per atom; energy above the most stable polymorph in this dataset = 0 meV per atom
1.0
-2.3080 2.2164 0.4824
-1.9343 -1.3394 -3.1008
-3.0813 -6.6110 4.7778
Hf Co Cd
2 2 2
Direct
0.5791 0.7500 0.1581
0.4209 0.2500 0.8419
0.0489 0.2500 0.0979
0.9511 0.7500 0.9021
0.2023 0.2500 0.4046
0.7977 0.7500 0.5954


[3]
HfCdCo PBE relaxed; energy = -6.083 eV per atom; energy above the most stable polymorph in this dataset = 167 meV per atom
1.0
-2.8025 -1.6058 -0.6192
1.2473 -1.0799 -2.8449
2.5331 -2.5940 3.9962
Co Hf Cd
1 1 1
Direct
0.3154 0.3154 0.6308
0.6945 0.6945 0.3890
0.9901 0.9901 0.9802


[4]
Hf3CdCo PBE relaxed; energy = -7.422 eV per atom; energy above the most stable polymorph in this dataset = 0 meV per atom
1.0
4.7888 0.0000 0.0000
0.0000 4.7888 0.0000
0.0000 0.0000 4.7888
Cd Hf Co
1 3 1
Direct
0.5000 0.5000 0.5000
0.0000 0.0000 0.5000
0.5000 0.0000 0.0000
0.0000 0.5000 0.0000
0.0000 0.0000 0.0000


[5]
Hf2CdCoSe PBE relaxed; energy = -4.651 eV per atom; raw formation energy = 1.631 eV per atom
1.0
5.2223 0.0000 0.0000
0.0000 5.0204 0.0000
0.0000 0.0000 5.2223
Hf Cd Se Co
2 1 1 1
Direct
0.5000 0.0000 0.0000
0.0000 0.0000 0.5000
0.0000 0.0000 0.0000
0.0000 0.5000 0.0000
0.5000 0.5000 0.5000


[6]
HfCd2CoSn PBE relaxed; energy = -3.460 eV per atom; energy above the most stable polymorph in this dataset = 861 meV per atom
1.0
5.2221 0.0000 0.0000
0.0000 4.6188 0.0000
0.0000 0.0000 5.2221
Cd Hf Sn Co
2 1 1 1
Direct
0.0000 0.0000 0.5000
0.5000 0.0000 0.0000
0.5000 0.5000 0.5000
0.0000 0.0000 0.0000
0.0000 0.5000 0.0000